# 1
A plane-wave DFT calculation with PBE was carried out for crystalline NaAlPd2Au at its relaxed geometry.

Cell: 4.562 4.562 5.166 Å, 90.00 90.00 90.00°
Space group P4/mmm (No. 123)
One atom of each set of equivalent atoms:
Na: 0.000 0.000 0.000 (multiplicity 1)
Al: 0.000 0.000 0.500 (multiplicity 1)
Pd: 0.000 0.500 0.500 (multiplicity 2)
Au: 0.500 0.500 0.000 (multiplicity 1)

## Properties
For the total moment, the calculation gives 0.000 μB per cell. The formation energy comes out at 242.5 meV/atom.


# 2
A plane-wave DFT calculation with PBE was carried out for crystalline CeIn4Hg at its relaxed geometry.

Cell: 8.706 8.706 8.706 Å, 90.00 90.00 90.00°
Space group F-43m (No. 216)
One atom of each set of equivalent atoms:
Ce: 0.000 0.000 0.000 (multiplicity 4)
In: 0.125 0.125 0.375 (multiplicity 16)
Hg: 0.250 0.250 0.750 (multiplicity 4)

## Properties
For the total moment, the calculation gives 4.979 μB per cell. The formation energy comes out at -74.8 meV/atom.


# 3
A plane-wave DFT calculation with PBE was carried out for crystalline NdDy3S4 at its relaxed geometry.

Cell: 5.587 5.587 5.587 Å, 90.00 90.00 90.00°
Space group Pm-3m (No. 221)
One atom of each set of equivalent atoms:
Nd: 0.000 0.000 0.000 (multiplicity 1)
Dy: 0.000 0.500 0.500 (multiplicity 3)
S: 0.000 0.000 0.500 (multiplicity 3)
S: 0.500 0.500 0.500 (multiplicity 1)

## Properties
As for the formation energy from raw total energies: -1.9728 eV per atom. For the total moment, the calculation gives 0.000 μB per cell. As for the energy above the most stable polymorph in this dataset: 23 meV/atom.


# 4
A plane-wave DFT calculation with PBE was carried out for crystalline Ba2SrRhO5 at its relaxed geometry.

Cell: 3.853 6.150 12.647 Å, 90.00 90.00 90.00°
Space group Immm (No. 71)
One atom of each set of equivalent atoms:
Ba: 0.000 0.000 0.212 (multiplicity 4)
Sr: 0.000 0.500 0.000 (multiplicity 2)
Rh: 0.000 0.500 0.500 (multiplicity 2)
O: 0.000 0.000 0.000 (multiplicity 2)
O: 0.000 0.254 0.384 (multiplicity 8)

## Properties
As for the formation energy from raw total energies: -1.9709 eV per atom. For the total moment, the calculation gives 0.230 μB per cell.


# 5
A plane-wave DFT calculation with PBE was carried out for crystalline Cd2Pd7Pt3 at its relaxed geometry.

Cell: 4.244 26.618 3.705 Å, 90.00 90.00 90.00°
Space group Cmmm (No. 65)
One atom of each set of equivalent atoms:
Cd: 0.000 0.157 0.000 (multiplicity 4)
Pd: 0.000 0.000 0.000 (multiplicity 2)
Pd: 0.000 0.076 0.500 (multiplicity 4)
Pd: 0.000 0.278 0.000 (multiplicity 4)
Pd: 0.000 0.425 0.000 (multiplicity 4)
Pt: 0.000 0.351 0.500 (multiplicity 4)
Pt: 0.000 0.500 0.500 (multiplicity 2)

## Properties
For the total moment, the calculation gives 0.000 μB per cell. The formation energy comes out at -0.9 meV/atom. As for the energy above the most stable polymorph in this dataset: 0 meV/atom.